This record from OQMD via LeMat-Bulk describes crystalline B2MoW at its relaxed geometry. The functional is PBE.

```
8
Lattice="-1.567 1.567 8.521 1.567 -1.567 8.521 1.567 1.567 -8.521" Properties=species:S:1:pos:R:3 pbc="T T T"
W 0.000 1.567 7.626
B 0.000 0.000 5.867
B 1.567 0.000 6.911
Mo 0.000 0.000 13.699
B 0.000 0.000 11.176
W 0.000 1.567 0.895
Mo 0.000 0.000 3.343
B 1.567 0.000 1.610
```

DFT total energy   -9.7296 eV per atom
Polymorph energy (0 for the lowest one)   0.1 kJ/mol of atoms

This record from OQMD via LeMat-Bulk describes crystalline B4Mo3W at its relaxed geometry. The functional is PBE.

```
8
Lattice="-3.190 3.802 7.270 -6.527 1.316 5.757 5.584 -4.265 -5.303" Properties=species:S:1:pos:R:3 pbc="T T T"
W -6.774 3.568 9.081
Mo -2.942 1.550 3.944
B -1.513 0.797 2.029
Mo 0.678 0.042 1.679
Mo -3.141 2.054 6.800
B -4.414 0.602 5.513
B -1.388 -0.992 1.456
B -8.207 4.323 11.003
```

DFT total energy   -9.4978 eV per atom

This record from OQMD via LeMat-Bulk describes crystalline BMoW2 at its relaxed geometry. The functional is PBE.

```
4
Lattice="0.000 3.042 3.042 3.042 0.000 3.042 3.042 3.042 0.000" Properties=species:S:1:pos:R:3 pbc="T T T"
W 4.563 4.563 4.563
B 3.042 3.042 3.042
W 0.000 0.000 0.000
Mo 1.521 1.521 1.521
```

DFT total energy   -10.2241 eV per atom

This record from OQMD via LeMat-Bulk describes crystalline B2MoW at its relaxed geometry. The functional is PBE.

```
4
Lattice="1.596 -2.644 2.642 -1.492 -0.256 3.772 -2.122 -3.277 1.128" Properties=species:S:1:pos:R:3 pbc="T T T"
Mo -1.009 -3.088 3.771
W -1.513 -4.633 5.656
B 0.000 0.000 0.000
B -0.504 -1.544 1.885
```

DFT total energy   -8.1274 eV per atom
Polymorph energy (0 for the lowest one)   154.7 kJ/mol of atoms

This record from OQMD via LeMat-Bulk describes crystalline B4MoW at its relaxed geometry. The functional is PBE.

```
6
Lattice="-1.514 2.621 3.342 1.514 -2.621 3.342 1.514 2.621 -3.342" Properties=species:S:1:pos:R:3 pbc="T T T"
Mo 0.000 0.000 0.000
W 0.000 0.000 3.342
B 1.514 0.875 1.673
B 1.514 -0.875 1.673
B 0.000 1.746 1.670
B 0.000 3.497 1.670
```

DFT total energy   -8.6029 eV per atom

This record from OQMD via LeMat-Bulk describes crystalline BMo2W at its relaxed geometry. The functional is PBE.

```
4
Lattice="2.687 -2.699 -1.953 -1.463 -3.686 -1.610 -0.220 -0.546 -4.239" Properties=species:S:1:pos:R:3 pbc="T T T"
Mo 0.753 -5.198 -5.852
W 0.251 -1.733 -1.951
B 0.502 -3.465 -3.901
Mo 0.000 0.000 0.000
```

DFT total energy   -9.7418 eV per atom

This record from OQMD via LeMat-Bulk describes crystalline B2MoW at its relaxed geometry. The functional is PBE.

```
8
Lattice="-1.566 1.569 8.516 1.566 -1.569 8.516 1.566 1.569 -8.516" Properties=species:S:1:pos:R:3 pbc="T T T"
B 0.000 0.784 3.730
B 1.566 0.784 -0.521
Mo 0.000 0.784 1.224
W 1.566 0.784 -3.033
Mo 1.566 0.784 7.291
B 1.566 0.784 4.785
W 0.000 0.784 11.549
B 0.000 0.784 9.037
```

DFT total energy   -9.7290 eV per atom
Polymorph energy (0 for the lowest one)   0.2 kJ/mol of atoms

This record from OQMD via LeMat-Bulk describes crystalline BMoW at its relaxed geometry. The functional is PBE.

```
12
Lattice="6.165 0.000 0.000 0.000 3.121 0.000 0.000 0.000 7.858" Properties=species:S:1:pos:R:3 pbc="T T T"
B 1.280 2.341 6.576
W 4.082 0.780 3.506
Mo 0.006 0.780 5.344
B 4.885 0.780 1.282
W 2.083 2.341 4.352
W 1.000 0.780 0.423
Mo 3.089 0.780 6.443
B 4.363 2.341 5.211
Mo 3.076 2.341 1.415
B 1.802 0.780 2.647
Mo 6.159 2.341 2.514
W 5.166 2.341 7.434
```

DFT total energy   -10.3899 eV per atom
Polymorph energy (0 for the lowest one)   0.0 kJ/mol of atoms

This record from OQMD via LeMat-Bulk describes crystalline B2MoW at its relaxed geometry. The functional is PBE.

```
8
Lattice="-6.523 3.464 4.790 -5.051 6.829 2.312 4.338 -5.681 -5.139" Properties=species:S:1:pos:R:3 pbc="T T T"
B -4.697 4.177 2.882
W -10.958 9.745 6.724
B -5.081 2.438 2.273
B -2.161 2.178 -0.307
Mo -3.863 3.691 0.738
W -3.370 0.916 1.223
Mo -6.399 5.691 3.927
B -1.094 0.973 0.672
```

DFT total energy   -9.7308 eV per atom
Polymorph energy (0 for the lowest one)   0.0 kJ/mol of atoms

This record from OQMD via LeMat-Bulk describes crystalline BMoW at its relaxed geometry. The functional is PBE.

```
3
Lattice="2.561 0.559 3.128 -0.094 3.488 2.117 -1.425 0.028 3.824" Properties=species:S:1:pos:R:3 pbc="T T T"
B 0.260 1.019 2.267
W 0.000 0.000 0.000
Mo 0.781 3.056 6.802
```

DFT total energy   -8.8116 eV per atom
Polymorph energy (0 for the lowest one)   152.3 kJ/mol of atoms

This record from OQMD via LeMat-Bulk describes crystalline YB4Mo at its relaxed geometry. The functional is PBE.

```
24
Lattice="6.032 0.000 0.000 0.000 11.655 0.000 0.000 0.000 3.622" Properties=species:S:1:pos:R:3 pbc="T T T"
Y 2.252 7.573 0.000
B 4.743 2.173 1.811
Mo 3.797 0.975 0.000
Mo 5.250 6.803 0.000
B 3.705 11.102 1.811
B 5.227 0.373 1.811
B 1.289 9.482 1.811
B 5.343 5.275 1.811
B 4.305 8.000 1.811
B 1.727 3.655 1.811
B 3.164 9.400 1.811
B 3.820 6.200 1.811
Y 5.268 9.909 0.000
B 0.689 6.380 1.811
B 0.148 8.082 1.811
Y 3.779 4.082 0.000
B 2.327 0.553 1.811
Y 0.763 1.745 0.000
B 0.804 11.282 1.811
B 5.883 3.573 1.811
Mo 2.234 10.679 0.000
B 2.212 5.454 1.811
B 2.867 2.254 1.811
Mo 0.782 4.852 0.000
```

DFT total energy   -7.9566 eV per atom
Polymorph energy (0 for the lowest one)   0.0 kJ/mol of atoms

This record from OQMD via LeMat-Bulk describes crystalline YB4Mo at its relaxed geometry. The functional is PBE.

```
6
Lattice="-0.105 3.032 0.786 0.698 -2.156 2.164 6.930 0.652 -1.585" Properties=species:S:1:pos:R:3 pbc="T T T"
B 5.797 0.078 0.477
Mo 0.000 0.000 0.000
B 1.993 -0.280 1.347
Y 3.465 0.326 -0.792
B 5.529 1.807 0.018
B 1.725 1.449 0.888
```

DFT total energy   -7.8517 eV per atom
Polymorph energy (0 for the lowest one)   10.1 kJ/mol of atoms

This record from OQMD via LeMat-Bulk describes crystalline YB4Mo at its relaxed geometry. The functional is PBE.

```
6
Lattice="0.427 -1.301 4.529 1.137 4.268 1.697 -3.605 -2.315 -2.008" Properties=species:S:1:pos:R:3 pbc="T T T"
B -1.364 1.123 1.797
Y 0.782 1.484 3.113
Mo 0.000 0.000 0.000
B -0.677 -0.471 2.421
B -0.329 2.300 0.976
B -1.712 -1.648 3.242
```

DFT total energy   -7.8016 eV per atom
Polymorph energy (0 for the lowest one)   15.0 kJ/mol of atoms

This record from OQMD via LeMat-Bulk describes crystalline YB2Mo at its relaxed geometry. The functional is PBE.

```
4
Lattice="1.056 1.365 3.897 2.263 3.582 0.463 -1.842 3.491 1.607" Properties=species:S:1:pos:R:3 pbc="T T T"
Y 1.108 6.329 4.475
Mo 0.738 4.219 2.984
B 0.000 0.000 0.000
B 0.369 2.109 1.492
```

DFT total energy   -6.2195 eV per atom

This record from OQMD via LeMat-Bulk describes crystalline YBMo2 at its relaxed geometry. The functional is PBE.

```
4
Lattice="0.000 3.172 3.172 3.172 0.000 3.172 3.172 3.172 0.000" Properties=species:S:1:pos:R:3 pbc="T T T"
B 3.172 3.172 3.172
Mo 4.758 4.758 4.758
Y 1.586 1.586 1.586
Mo 0.000 0.000 0.000
```

DFT total energy   -8.1477 eV per atom

This record from OQMD via LeMat-Bulk describes crystalline YB7Mo3 at its relaxed geometry. The functional is PBE.

```
44
Lattice="11.039 0.000 0.000 0.000 3.104 0.000 0.000 0.000 12.889" Properties=species:S:1:pos:R:3 pbc="T T T"
B 2.766 2.328 2.235
Mo 9.742 0.776 12.541
Y 0.565 2.328 3.972
Y 10.474 0.776 8.916
Mo 1.765 2.328 7.270
B 10.626 2.328 6.677
B 0.118 0.776 1.771
B 5.637 0.776 4.673
B 7.575 0.776 0.860
B 6.267 0.776 7.939
Mo 9.003 0.776 2.605
Mo 3.754 0.776 0.825
B 0.747 0.776 11.393
B 5.933 0.776 0.233
B 9.205 2.328 10.737
B 10.292 2.328 1.495
B 8.495 2.328 1.055
Mo 7.285 2.328 12.063
Mo 6.817 2.328 6.097
B 2.544 0.776 11.834
B 2.976 2.328 5.390
B 8.273 0.776 10.654
Mo 4.222 0.776 6.791
Y 4.954 0.776 10.417
B 8.286 2.328 4.209
B 3.686 2.328 8.596
B 7.353 0.776 4.293
B 3.464 2.328 12.029
B 5.402 2.328 8.216
B 0.414 0.776 6.211
Mo 7.556 2.328 9.049
B 5.106 2.328 12.655
B 8.064 0.776 7.499
Mo 1.298 2.328 0.347
B 8.983 2.328 7.304
B 2.753 0.776 8.679
Y 6.085 2.328 2.472
Mo 2.036 2.328 10.284
B 10.921 2.328 11.117
B 4.773 2.328 4.949
Mo 9.274 0.776 5.619
Mo 3.483 0.776 3.840
B 1.834 0.776 2.151
B 2.056 0.776 5.584
```

DFT total energy   -8.3522 eV per atom

This record from OQMD via LeMat-Bulk describes crystalline Y2B6Mo at its relaxed geometry. The functional is PBE.

```
36
Lattice="-5.942 -0.195 -7.139 -7.178 -6.832 6.162 -1.683 2.959 1.320" Properties=species:S:1:pos:R:3 pbc="T T T"
B -11.911 -4.957 0.974
B -6.930 -0.460 -2.756
B -6.489 -2.527 2.440
B -8.415 -5.180 5.931
B -7.482 -4.122 4.750
Mo -3.433 -1.299 -1.466
B -3.763 -0.176 0.645
B -3.030 -0.493 2.292
Y -8.476 -6.308 3.333
Y -11.857 -6.134 -1.369
B -8.314 -1.541 -2.098
Mo -9.688 -5.728 0.488
B -6.602 -1.823 0.716
Y -1.263 -0.893 0.392
B -9.503 -3.316 0.365
B -7.874 -3.609 3.099
B -2.893 0.889 -0.632
Y -4.644 -0.719 -4.311
B -9.351 -3.999 2.091
B -5.301 -0.753 -0.022
B -5.453 -0.069 -1.748
B -6.388 1.112 -5.588
Y -9.091 -4.163 -2.260
B -8.201 -2.246 -0.374
B -7.322 0.054 -4.408
Mo -7.412 -2.356 -4.170
B -11.041 -3.893 -0.303
B -11.774 -3.575 -1.950
Y -4.030 -2.864 1.282
Y -7.151 -4.385 0.711
B -3.975 0.943 -2.132
B -10.829 -5.011 2.475
Mo -5.709 -4.671 3.193
Y -5.970 -2.642 -1.689
B -5.212 -2.396 3.774
B -9.591 -1.673 -3.431
```

DFT total energy   -7.6698 eV per atom

This record from OQMD via LeMat-Bulk describes crystalline ZnB2Mo2 at its relaxed geometry. The functional is PBE.

```
5
Lattice="1.542 -5.756 0.000 1.542 5.756 0.000 0.000 0.000 3.155" Properties=species:S:1:pos:R:3 pbc="T T T"
B 1.542 -3.355 0.000
Mo 1.542 -1.660 1.578
B 1.542 3.355 0.000
Mo 1.542 1.660 1.578
Zn 0.000 0.000 0.000
```

DFT total energy   -7.5476 eV per atom

This record from OQMD via LeMat-Bulk describes crystalline Zn2BMo at its relaxed geometry. The functional is PBE.

```
4
Lattice="-3.612 -1.681 -1.125 -2.866 -0.854 2.862 -3.474 2.244 0.184" Properties=species:S:1:pos:R:3 pbc="T T T"
B -4.976 -0.145 0.961
Mo -2.488 -0.073 0.480
Zn 0.000 0.000 0.000
Zn -7.464 -0.218 1.441
```

DFT total energy   -4.3132 eV per atom

This record from OQMD via LeMat-Bulk describes crystalline ZnB2Mo at its relaxed geometry. The functional is PBE.

```
4
Lattice="-2.061 -2.812 -1.882 -3.910 -0.302 0.563 -2.503 0.989 -2.908" Properties=species:S:1:pos:R:3 pbc="T T T"
Zn -2.119 -0.531 -1.057
B -4.237 -1.062 -2.113
Mo 0.000 0.000 0.000
B -6.356 -1.594 -3.170
```

DFT total energy   -5.0159 eV per atom